[1]
DFT (PBE) results for crystalline BP2RhC at its relaxed geometry.

- SG = P1 (1)
- volume (Å³/cell) = 63.5
- polymorph energy (0 for the lowest one) (eV/f.u.) = 0.83
- formation energy (eV/atom) = 0.1048
- E (eV/atom) = -6.710

```
5
Lattice="3.039 0.000 0.000 -1.499 3.811 0.000 -0.045 -1.680 5.480" Properties=species:S:1:pos:R:3 pbc="T T T"
B 0.000 0.000 0.000
P 0.000 2.179 3.065
P 1.520 0.864 0.606
Rh 1.498 0.498 4.150
C 1.520 1.641 2.223
```

=====

[2]
DFT (PBE) results for crystalline BP2RhC at its relaxed geometry.

- SG = Pm (6)
- volume (Å³/cell) = 71.6
- polymorph energy (0 for the lowest one) (eV/f.u.) = 0.89
- formation energy (eV/atom) = 0.1174
- E (eV/atom) = -6.697

```
5
Lattice="3.850 0.000 0.000 0.000 2.852 0.000 -0.259 0.000 6.516" Properties=species:S:1:pos:R:3 pbc="T T T"
B 0.000 0.000 0.000
P 1.176 0.000 5.361
P 3.290 1.426 2.453
Rh 3.069 1.426 4.826
C 3.507 0.000 1.488
```

=====

[3]
DFT (PBE) results for crystalline BP2RhC at its relaxed geometry.

- SG = Pmm2 (25)
- volume (Å³/cell) = 65.1
- polymorph energy (0 for the lowest one) (eV/f.u.) = 0.49
- formation energy (eV/atom) = 0.0370
- E (eV/atom) = -6.777

```
5
Lattice="2.860 0.000 0.000 0.000 3.145 0.000 0.000 0.000 7.238" Properties=species:S:1:pos:R:3 pbc="T T T"
B 0.000 0.000 0.000
P 0.000 1.572 6.120
P 1.430 0.000 2.540
Rh 1.430 1.572 4.271
C 0.000 0.000 1.501
```